First-principles (PBE) data for a relaxed Ta2Bi crystal, as listed in OQMD.

Geometry as POSCAR:
```
Ta2Bi
1.0
4.588 2.649 7.493
-4.588 2.649 7.493
0.000 -5.298 7.493
Bi Ta
2 4
Direct
0.500 0.500 0.500
0.250 0.250 0.250
0.375 0.375 0.875
0.875 0.375 0.375
0.375 0.875 0.375
0.375 0.375 0.375
```

Output
- DFT total energy: -0.1994 hartree per atom